A plane-wave DFT calculation with PBE+U was carried out for an optimized crystal structure of ZnW2O4.

Structure (POSCAR):
```
ZnW2O4
1.0
3.2603 1.8823 5.0224
-3.2603 1.8823 5.0224
0.0000 -3.7647 5.0224
Zn W O
2 4 8
Direct
0.0000 0.0000 0.0000
0.3754 0.3754 0.3754
0.4925 0.9931 0.9931
0.5898 0.5898 0.5898
0.9931 0.4925 0.9931
0.9931 0.9931 0.4925
0.2196 0.7562 0.7562
0.2373 0.2373 0.2373
0.2372 0.2372 0.7694
0.2372 0.7694 0.2372
0.7562 0.2196 0.7562
0.7562 0.7562 0.2196
0.7558 0.7558 0.7558
0.7694 0.2372 0.2372
```

Results
* N(E_F): 1.36 states/eV per cell
* relative energy among the computed polymorphs: 0.183 eV per atom